Record 1
{"formula": "ZnHg4", "functional": "GGA-PBE", "state": "optimized geometry", "ef_mev_per_atom": 64, "magnetic_moment_mub_per_cell": 0.00, "total_energy_ev_per_atom": -0.432, "n_ef_per_ev_fu": 0.6, "lattice": [[6.361, 0.000, 0.000], [0.000, 6.361, 0.000], [0.000, 0.000, 6.249]], "species": ["Zn", "Zn", "Hg", "Hg", "Hg", "Hg", "Hg", "Hg", "Hg", "Hg"], "fractional_positions": [[0.000, 0.000, 0.250], [0.000, 0.000, 0.750], [0.198, 0.340, 0.000], [0.198, 0.660, 0.500], [0.340, 0.198, 0.500], [0.340, 0.802, 0.000], [0.660, 0.198, 0.000], [0.660, 0.802, 0.500], [0.802, 0.340, 0.500], [0.802, 0.660, 0.000]]}

---

Record 2
{"formula": "Zn3Hg4", "functional": "GGA-PBE", "state": "optimized geometry", "ef_mev_per_atom": 107, "e_above_lowest_polymorph_kj_per_mol_atoms": 0.0, "magnetic_moment_mub_per_cell": 0.00, "total_energy_ev_per_atom": -0.612, "n_ef_per_ev_fu": 1.5, "lattice": [[5.116, 0.000, 0.000], [-2.558, 4.431, 0.000], [0.000, 0.000, 6.702]], "species": ["Zn", "Zn", "Zn", "Hg", "Hg", "Hg", "Hg"], "fractional_positions": [[0.000, 0.500, 0.000], [0.500, 0.000, 0.000], [0.500, 0.500, 0.000], [0.000, 0.000, 0.255], [0.000, 0.000, 0.745], [0.333, 0.667, 0.500], [0.667, 0.333, 0.500]]}

---

Record 3
{"formula": "ZnHg2", "functional": "GGA-PBE", "state": "optimized geometry", "ef_mev_per_atom": 89, "magnetic_moment_mub_per_cell": 0.00, "total_energy_ev_per_atom": -0.537, "n_ef_per_ev_fu": 1.1, "lattice": [[6.732, 0.000, 0.000], [0.000, 6.732, 0.000], [0.000, 0.000, 6.732]], "species": ["Zn", "Zn", "Zn", "Zn", "Hg", "Hg", "Hg", "Hg", "Hg", "Hg", "Hg", "Hg"], "fractional_positions": [[0.000, 0.000, 0.000], [0.000, 0.500, 0.500], [0.500, 0.000, 0.500], [0.500, 0.500, 0.000], [0.141, 0.641, 0.859], [0.141, 0.859, 0.359], [0.359, 0.141, 0.859], [0.359, 0.359, 0.359], [0.641, 0.641, 0.641], [0.641, 0.859, 0.141], [0.859, 0.141, 0.641], [0.859, 0.359, 0.141]]}

---

Record 4
{"formula": "ZnHg", "functional": "GGA-PBE", "state": "optimized geometry", "ef_mev_per_atom": 207, "magnetic_moment_mub_per_cell": 0.00, "total_energy_ev_per_atom": -0.581, "n_ef_per_ev_fu": 0.7, "lattice": [[4.753, 0.000, 0.000], [-2.376, 4.116, 0.000], [0.000, 0.000, 5.525]], "species": ["Zn", "Zn", "Hg", "Hg"], "fractional_positions": [[0.333, 0.667, 0.250], [0.667, 0.333, 0.750], [0.333, 0.667, 0.750], [0.667, 0.333, 0.250]]}

---

Record 5
{"formula": "Zn3Hg", "functional": "GGA-PBE", "state": "optimized geometry", "ef_mev_per_atom": 112, "magnetic_moment_mub_per_cell": 0.00, "total_energy_ev_per_atom": -0.919, "n_ef_per_ev_fu": 0.7, "lattice": [[3.054, 0.000, 0.000], [0.000, 4.181, 0.000], [0.000, 0.000, 5.620]], "species": ["Zn", "Zn", "Zn", "Hg"], "fractional_positions": [[0.000, 0.000, 0.000], [0.000, 0.500, 0.310], [0.500, 0.000, 0.417], [0.500, 0.500, 0.784]]}

---

Record 6
{"formula": "Zn3Hg4", "functional": "GGA-PBE", "state": "optimized geometry", "ef_mev_per_atom": 118, "e_above_lowest_polymorph_kj_per_mol_atoms": 1.1, "magnetic_moment_mub_per_cell": 0.00, "total_energy_ev_per_atom": -0.601, "n_ef_per_ev_fu": 1.7, "lattice": [[-1.965, 1.965, 9.619], [1.965, -1.965, 9.619], [1.965, 1.965, -9.619]], "species": ["Zn", "Zn", "Zn", "Hg", "Hg", "Hg", "Hg"], "fractional_positions": [[0.000, 0.000, 0.000], [0.285, 0.285, 0.000], [0.715, 0.715, 0.000], [0.148, 0.148, 0.000], [0.427, 0.427, 0.000], [0.573, 0.573, 0.000], [0.852, 0.852, 0.000]]}